#i
DFT (PBE-GGA) results for an optimized crystal structure of MgAlAsSe2.

Calculated values
Its density of states at the Fermi level is 5.2 states/eV/f.u. Its total magnetization is 0.00 μB/f.u.

a = 4.9680 Å, b = 4.9680 Å, c = 5.2154 Å
α = 90.00°, β = 90.00°, γ = 90.00°
Last column: nearest neighbours and their distance in Å.
Space group P4/mmm (No. 123)
One atom of each set of equivalent atoms:
1 Mg 0.0000 0.0000 0.0000 (multiplicity 1)  4 Se 2.48, 2 Al 2.61
2 Al 0.0000 0.0000 0.5000 (multiplicity 1)  2 Mg 2.61
3 As 0.5000 0.5000 0.5000 (multiplicity 1)  4 Al 3.51, 8 Se 3.60
4 Se 0.0000 0.5000 0.0000 (multiplicity 2)  2 Mg 2.48

---

#ii
DFT (PBE-GGA) results for an optimized crystal structure of MgAlAsSe2.

Calculated values
Its density of states at the Fermi level is 5.5 states/eV/f.u. Its total magnetization is 0.00 μB/f.u.

a = 4.9585 Å, b = 4.9585 Å, c = 4.8302 Å
α = 90.00°, β = 90.00°, γ = 90.00°
Last column: nearest neighbours and their distance in Å.
Space group P4/mmm (No. 123)
One atom of each set of equivalent atoms:
1 Mg 0.0000 0.0000 0.0000 (multiplicity 1)  8 Se 3.46, 4 As 3.51
2 Al 0.5000 0.5000 0.5000 (multiplicity 1)  2 As 2.42, 4 Se 2.48
3 As 0.5000 0.5000 0.0000 (multiplicity 1)  2 Al 2.42
4 Se 0.0000 0.5000 0.5000 (multiplicity 2)  2 Al 2.48

---

#iii
DFT (PBE-GGA) results for an optimized crystal structure of MgAlAsSe2.

Calculated values
Its density of states at the Fermi level is 6.5 states/eV/f.u. Its total magnetization is 0.00 μB/f.u.

a = 5.0838 Å, b = 5.0838 Å, c = 5.0095 Å
α = 90.00°, β = 90.00°, γ = 90.00°
Last column: nearest neighbours and their distance in Å.
Space group P4/mmm (No. 123)
One atom of each set of equivalent atoms:
1 Mg 0.0000 0.0000 0.0000 (multiplicity 1)  2 As 2.50, 4 Se 2.54
2 Al 0.5000 0.5000 0.5000 (multiplicity 1)  8 Se 3.57, 4 As 3.59
3 As 0.0000 0.0000 0.5000 (multiplicity 1)  2 Mg 2.50
4 Se 0.0000 0.5000 0.0000 (multiplicity 2)  2 Mg 2.54

---

Least stable of them? #i.

---

#i
DFT (PBE-GGA) results for an optimized crystal structure of Mn2AlAs.

Calculated values
Its density of states at the Fermi level is 4.1 states/eV/f.u. Its total magnetization is 2.85 μB/f.u.

a = 5.9912 Å, b = 5.9912 Å, c = 5.9912 Å
α = 90.00°, β = 90.00°, γ = 90.00°
Last column: nearest neighbours and their distance in Å.
Space group F-43m (No. 216)
One atom of each set of equivalent atoms:
1 Mn 0.0000 0.0000 0.0000 (multiplicity 4)  4 Mn 2.59, 4 Al 2.59
2 Mn 0.2500 0.2500 0.2500 (multiplicity 4)  4 As 2.59, 4 Mn 2.59
3 Al 0.2500 0.2500 0.7500 (multiplicity 4)  4 As 2.59, 4 Mn 2.59
4 As 0.0000 0.0000 0.5000 (multiplicity 4)  4 Mn 2.59, 4 Al 2.59

---

#ii
DFT (PBE-GGA) results for an optimized crystal structure of Mn2AlAs.

Calculated values
Its density of states at the Fermi level is 3.2 states/eV/f.u. Its total magnetization is 4.56 μB/f.u.

a = 2.7750 Å, b = 4.4172 Å, c = 4.8202 Å
α = 90.00°, β = 106.32°, γ = 90.00°
Last column: nearest neighbours and their distance in Å.
Space group Pm (No. 6)
One atom of each set of equivalent atoms:
1 Mn 0.0000 0.0000 0.0000 (multiplicity 1)  3 As 2.52-2.53, 2 Mn 2.78
2 Mn 0.3548 0.5000 0.7314 (multiplicity 1)  2 As 2.37, 3 Al 2.41-2.62
3 Al 0.6256 0.5000 0.2525 (multiplicity 1)  3 Mn 2.41-2.62
4 As 0.2739 0.0000 0.5441 (multiplicity 1)  5 Mn 2.37-2.53

---

Least stable of them? #i.

---

#i
DFT (PBE-GGA) results for an optimized crystal structure of Mn2AlAs.

Calculated values
Its density of states at the Fermi level is 2.8 states/eV/f.u. Its total magnetization is 5.30 μB/f.u.

a = 3.6650 Å, b = 3.6650 Å, c = 8.2152 Å
α = 90.00°, β = 90.00°, γ = 90.00°
Last column: nearest neighbours and their distance in Å.
Space group I-4m2 (No. 119)
One atom of each set of equivalent atoms:
1 Mn 0.0000 0.0000 0.0000 (multiplicity 2)  4 Al 2.59, 4 Mn 2.75, 4 As 2.75
2 Mn 0.0000 0.5000 0.2500 (multiplicity 2)  4 As 2.59, 4 Mn 2.75, 4 Al 2.75
3 Al 0.0000 0.0000 0.5000 (multiplicity 2)  8 Mn 2.59-2.75, 4 As 2.75
4 As 0.0000 0.5000 0.7500 (multiplicity 2)  8 Mn 2.59-2.75, 4 Al 2.75

---

#ii
DFT (PBE-GGA) results for an optimized crystal structure of Mn2AlAs.

Calculated values
Its density of states at the Fermi level is 3.4 states/eV/f.u. Its total magnetization is 5.02 μB/f.u.

a = 3.3003 Å, b = 3.3003 Å, c = 5.1483 Å
α = 90.00°, β = 90.00°, γ = 90.00°
Last column: nearest neighbours and their distance in Å.
Space group P4mm (No. 99)
One atom of each set of equivalent atoms:
1 Mn 0.0000 0.0000 0.0000 (multiplicity 1)  2 Al 2.52-2.63, 4 As 2.57, 4 Mn 2.72
2 Mn 0.5000 0.5000 0.2718 (multiplicity 1)  2 As 2.48-2.67, 4 Al 2.59, 4 Mn 2.72
3 Al 0.0000 0.0000 0.4898 (multiplicity 1)  6 Mn 2.52-2.63, 4 As 2.80
4 As 0.5000 0.5000 0.7906 (multiplicity 1)  6 Mn 2.48-2.67

---

Least stable of them? #i.

---

#i
DFT (PBE-GGA) results for an optimized crystal structure of MnAlAs3.

Calculated values
Its density of states at the Fermi level is 6.4 states/eV/f.u. Its total magnetization is 0.06 μB/f.u.

a = 4.7740 Å, b = 4.7740 Å, c = 4.7740 Å
α = 90.00°, β = 90.00°, γ = 90.00°
Last column: nearest neighbours and their distance in Å.
Space group Pm-3m (No. 221)
One atom of each set of equivalent atoms:
1 Mn 0.0000 0.0000 0.0000 (multiplicity 1)  12 As 3.38
2 Al 0.5000 0.5000 0.5000 (multiplicity 1)  6 As 2.39
3 As 0.0000 0.5000 0.5000 (multiplicity 3)  2 Al 2.39

---

#ii
DFT (PBE-GGA) results for an optimized crystal structure of MnAlAs3.

Calculated values
Its density of states at the Fermi level is 5.0 states/eV/f.u. Its total magnetization is 0.00 μB/f.u.

a = 4.6270 Å, b = 4.6270 Å, c = 4.6270 Å
α = 90.00°, β = 90.00°, γ = 90.00°
Last column: nearest neighbours and their distance in Å.
Space group Pm-3m (No. 221)
One atom of each set of equivalent atoms:
1 Mn 0.0000 0.0000 0.0000 (multiplicity 1)  6 As 2.31
2 Al 0.5000 0.5000 0.5000 (multiplicity 1)  12 As 3.27
3 As 0.0000 0.0000 0.5000 (multiplicity 3)  2 Mn 2.31

---

Least stable of them? #i.

---

#i
DFT (PBE-GGA) results for an optimized crystal structure of MnAl2AsS.

Calculated values
Its density of states at the Fermi level is 4.1 states/eV/f.u. Its total magnetization is 1.61 μB/f.u.

a = 4.8430 Å, b = 4.8430 Å, c = 4.0043 Å
α = 90.00°, β = 90.00°, γ = 90.00°
Last column: nearest neighbours and their distance in Å.
Space group P4/mmm (No. 123)
One atom of each set of equivalent atoms:
1 Mn 0.0000 0.0000 0.0000 (multiplicity 1)  2 S 2.00
2 Al 0.0000 0.5000 0.0000 (multiplicity 2)  2 Mn 2.42
3 As 0.5000 0.5000 0.5000 (multiplicity 1)  8 Al 3.14, 4 S 3.42
4 S 0.0000 0.0000 0.5000 (multiplicity 1)  2 Mn 2.00

---

#ii
DFT (PBE-GGA) results for an optimized crystal structure of MnAl2AsS.

Calculated values
Its density of states at the Fermi level is 5.1 states/eV/f.u. Its total magnetization is 1.69 μB/f.u.

a = 4.7686 Å, b = 4.7686 Å, c = 4.3029 Å
α = 90.00°, β = 90.00°, γ = 90.00°
Last column: nearest neighbours and their distance in Å.
Space group P4/mmm (No. 123)
One atom of each set of equivalent atoms:
1 Mn 0.0000 0.0000 0.0000 (multiplicity 1)  2 As 2.15, 4 Al 2.38
2 Al 0.0000 0.5000 0.0000 (multiplicity 2)  2 Mn 2.38
3 As 0.0000 0.0000 0.5000 (multiplicity 1)  2 Mn 2.15
4 S 0.5000 0.5000 0.5000 (multiplicity 1)  8 Al 3.21, 4 As 3.37

---

Least stable of them? #i.

---

#i
DFT (PBE-GGA) results for an optimized crystal structure of ZrMn2AlAs.

Calculated values
Its density of states at the Fermi level is 9.3 states/eV/f.u. Its total magnetization is 0.00 μB/f.u.

a = 4.3423 Å, b = 4.3423 Å, c = 4.9335 Å
α = 90.00°, β = 90.00°, γ = 90.00°
Last column: nearest neighbours and their distance in Å.
Space group P4/mmm (No. 123)
One atom of each set of equivalent atoms:
1 Zr 0.0000 0.0000 0.0000 (multiplicity 1)  2 As 2.47
2 Mn 0.0000 0.5000 0.5000 (multiplicity 2)  2 As 2.17
3 Al 0.5000 0.5000 0.0000 (multiplicity 1)  4 Zr 3.07, 8 Mn 3.29
4 As 0.0000 0.0000 0.5000 (multiplicity 1)  4 Mn 2.17

---

#ii
DFT (PBE-GGA) results for an optimized crystal structure of ZrMn2AlAs.

Calculated values
Its density of states at the Fermi level is 2.9 states/eV/f.u. Its total magnetization is 7.32 μB/f.u.

a = 4.9822 Å, b = 4.9822 Å, c = 5.0869 Å
α = 90.00°, β = 90.00°, γ = 90.00°
Last column: nearest neighbours and their distance in Å.
Space group P4/mmm (No. 123)
One atom of each set of equivalent atoms:
1 Zr 0.0000 0.0000 0.0000 (multiplicity 1)  4 Mn 2.49, 2 As 2.54
2 Mn 0.0000 0.5000 0.0000 (multiplicity 2)  2 Zr 2.49
3 Al 0.5000 0.5000 0.5000 (multiplicity 1)  4 As 3.52, 8 Mn 3.56
4 As 0.0000 0.0000 0.5000 (multiplicity 1)  2 Zr 2.54

---

Least stable of them? #ii.